# ZrCo3N

A relaxed structure of ZrCo3N (PBE, Alexandria via LeMat-Bulk).

a b c (Å): 4.604 4.604 4.604
angles (deg): 90.00 90.00 90.00
Element x y z (fractional)
Zr1 0.000 0.000 0.000
Co1 0.000 0.000 0.500
Co2 0.000 0.500 0.000
Co3 0.500 0.000 0.000
N1 0.500 0.500 0.500

Calculated values
SG: Pm-3m, No. 221
ΔE_f (raw): 2.58 eV/atom
energy above the most stable polymorph in this dataset: 2769.7 meV/atom

# CeNdThSc

A relaxed structure of CeNdThSc (PBE, Alexandria via LeMat-Bulk).

a b c (Å): 7.836 7.836 7.836
angles (deg): 90.00 90.00 90.00
Element x y z (fractional)
Ce1 0.000 0.000 0.000
Ce2 0.000 0.500 0.500
Ce3 0.500 0.000 0.500
Ce4 0.500 0.500 0.000
Nd1 0.250 0.250 0.750
Nd2 0.250 0.750 0.250
Nd3 0.750 0.250 0.250
Nd4 0.750 0.750 0.750
Th1 0.250 0.250 0.250
Th2 0.250 0.750 0.750
Th3 0.750 0.250 0.750
Th4 0.750 0.750 0.250
Sc1 0.000 0.000 0.500
Sc2 0.000 0.500 0.000
Sc3 0.500 0.000 0.000
Sc4 0.500 0.500 0.500

Calculated values
SG: F-43m, No. 216
DFT formation energy: 0.764 eV per formula unit
energy above the most stable polymorph in this dataset: 125.9 meV/atom

# EuLuPdPt

A relaxed structure of EuLuPdPt (PBE, Alexandria via LeMat-Bulk).

a b c (Å): 7.012 7.012 7.012
angles (deg): 90.00 90.00 90.00
Element x y z (fractional)
Eu1 0.000 0.000 0.000
Eu2 0.000 0.500 0.500
Eu3 0.500 0.000 0.500
Eu4 0.500 0.500 0.000
Lu1 0.000 0.000 0.500
Lu2 0.000 0.500 0.000
Lu3 0.500 0.000 0.000
Lu4 0.500 0.500 0.500
Pd1 0.250 0.250 0.750
Pd2 0.250 0.750 0.250
Pd3 0.750 0.250 0.250
Pd4 0.750 0.750 0.750
Pt1 0.250 0.250 0.250
Pt2 0.250 0.750 0.750
Pt3 0.750 0.250 0.750
Pt4 0.750 0.750 0.250

Calculated values
SG: F-43m, No. 216
DFT formation energy: -3.676 eV per formula unit

# MgRhNO2

A relaxed structure of MgRhNO2 (PBE, Alexandria via LeMat-Bulk).

a b c (Å): 4.074 4.074 3.634
angles (deg): 90.00 90.00 90.00
Element x y z (fractional)
Mg1 0.000 0.000 0.000
Rh1 0.500 0.500 0.500
N1 0.500 0.500 0.000
O1 0.000 0.500 0.500
O2 0.500 0.000 0.500

Calculated values
SG: P4/mmm, No. 123
ΔE_f (raw): -0.25 eV/atom

Number 1: density of states at the Fermi level 1.53 states/eV per atom, final energy -0.18588 Ha/atom. Number 2: density of states at the Fermi level 2.96 states/eV per atom, final energy -0.21764 Ha/atom. Number 3: density of states at the Fermi level 2.48 states/eV per atom, final energy -0.27291 Ha/atom. Number 4: density of states at the Fermi level 0.94 states/eV per atom, final energy -0.20909 Ha/atom.